A relaxed K2ScCu3F12 crystal. Source: Alexandria via LeMat-Bulk, functional GGA-PBE.

Cell lengths 7.4206, 7.4206, 7.4206 Å; angles 58.89, 58.89, 58.89 degrees
Last column: magnetic moment on the atom in μB.
Fractional coordinates of all 18 atoms:
Cu  0.0000  0.5000  0.0000  0.88
Cu  0.0000  0.0000  0.5000  0.88
Cu  0.5000  0.0000  0.0000  0.88
F  0.9183  0.3198  0.3198  0.14
F  0.6693  0.0769  0.0769  0.06
F  0.6802  0.0817  0.6802  0.14
F  0.0769  0.6693  0.0769  0.06
F  0.6802  0.6802  0.0817  0.14
F  0.3198  0.3198  0.9183  0.14
F  0.9231  0.3307  0.9231  0.06
F  0.0769  0.0769  0.6693  0.06
F  0.0817  0.6802  0.6802  0.14
F  0.3307  0.9231  0.9231  0.06
F  0.9231  0.9231  0.3307  0.06
F  0.3198  0.9183  0.3198  0.14
Sc  0.0000  0.0000  0.0000  0.01
K  0.6076  0.6076  0.6076  0.00
K  0.3924  0.3924  0.3924  0.00

Calculated values
For the uncorrected formation energy, the calculation gives -2.349 eV per atom.

A relaxed Li2Nd2Mg3 crystal. Source: Alexandria via LeMat-Bulk, functional GGA-PBE.

Cell lengths 4.1971, 3.5526, 12.2583 Å; angles 90.00, 80.14, 90.00 degrees
Fractional coordinates of all 7 atoms:
Mg  0.1667  0.0000  0.6667
Mg  0.8333  0.0000  0.3333
Mg  0.0000  0.0000  0.0000
Li  0.7165  0.5000  0.5670
Li  0.2835  0.5000  0.4330
Nd  0.4202  0.5000  0.1597
Nd  0.5798  0.5000  0.8403

Calculated values
Its relative energy among the computed polymorphs is 0.0 kJ/mol of atoms.

| no. | density of states at the Fermi level (states/eV/atom) | mass density (g cm⁻³) |
| --- | --- | --- |
| 1 | 0.43 | 3.19 |
| 2 | 0.78 | 3.46 |